Tm4GeSb3 | PBE | relaxed

abc: 6.059 6.059 6.059
angles: 90.00 90.00 90.00
Space group Pm-3m (No. 221)
Symmetry-distinct sites (fractional):
Tm  0.000  0.000  0.000
Tm  0.000  0.500  0.500
Ge  0.500  0.500  0.500
Sb  0.000  0.000  0.500

The calculation puts the magnetization at 0.000 μB per cell. The calculation puts the total DFT energy (no corrections) at -0.389 Ry per atom. As for the uncorrected formation energy: -7.432 eV per formula unit.